Material: Dy3ZnCu
Method: DFT, PBE
State: relaxed

a = 4.997 Å, b = 4.996 Å, c = 9.867 Å
α = 90.00°, β = 75.33°, γ = 90.00°
Sites, in units of the cell vectors:
Cu1 0.162 0.250 0.324
Dy1 0.255 0.750 0.139
Cu2 0.486 0.750 0.676
Dy2 0.892 0.750 0.865
Dy3 0.393 0.250 0.861
Zn1 0.982 0.250 0.685
Dy4 0.757 0.250 0.135
Dy5 0.073 0.750 0.501
Dy6 0.575 0.250 0.499
Zn2 0.667 0.750 0.315

offset from the most stable computed form	0.00	eV/f.u.
DFT total energy	-4.05	eV per atom
magnetization	0.00	μB/cell
calculated density	8.592	g/cm³
formation energy	-0.217	eV/atom

Material: CoAs2Au
Method: DFT, PBE
State: relaxed

a = 5.601 Å, b = 5.601 Å, c = 6.688 Å
α = 65.24°, β = 65.24°, γ = 90.00°
Sites, in units of the cell vectors:
As1 0.177 0.625 0.250
As2 0.875 0.823 0.750
As3 0.573 0.125 0.250
Au1 0.000 0.000 0.000
Co1 0.250 0.750 0.500
As4 0.375 0.427 0.750
Co2 0.500 0.500 0.000
Au2 0.750 0.250 0.500

offset from the most stable computed form	0.80	eV/f.u.
DFT total energy	-4.79	eV per atom
magnetization	0.00	μB/cell
calculated density	7.971	g/cm³
formation energy	0.130	eV/atom

Material: Ce3Be
Method: DFT, PBE
State: relaxed

a = 3.201 Å, b = 5.397 Å, c = 6.104 Å
α = 116.24°, β = 105.20°, γ = 90.00°
Sites, in units of the cell vectors:
Be1 0.000 0.023 0.000
Ce1 0.292 0.617 0.583
Ce2 0.500 0.493 0.000
Ce3 0.708 0.033 0.417

offset from the most stable computed form	0.00	eV/f.u.
DFT total energy	-5.23	eV per atom
magnetization	0.00	μB/cell
calculated density	7.880	g/cm³
formation energy	0.149	eV/atom

Material: Cr2NiN
Method: DFT, PBE
State: relaxed

a = 3.815 Å, b = 3.815 Å, c = 3.815 Å
α = 60.00°, β = 60.00°, γ = 60.00°
Each line ends with the local moment (μB).
Sites, in units of the cell vectors:
Cr1 0.250 0.250 0.250  0.39
Ni1 0.500 0.500 0.500  0.04
Cr2 0.750 0.750 0.750  0.39
N1 0.000 0.000 0.000  -0.01

offset from the most stable computed form	3.56	eV/f.u.
DFT total energy	-7.62	eV per atom
magnetization	0.85	μB/cell
calculated density	7.476	g/cm³
formation energy (no corrections)	0.72	eV per atom

Material: PHPtS2
Method: DFT, PBE
State: relaxed

a = 4.639 Å, b = 4.639 Å, c = 3.081 Å
α = 90.00°, β = 90.00°, γ = 90.00°
Sites, in units of the cell vectors:
Pt1 0.500 0.500 0.500
P1 0.000 0.000 0.500
S1 0.500 0.000 0.000
S2 0.000 0.500 0.000
H1 0.000 0.000 0.000

offset from the most stable computed form	0.00	eV/f.u.
DFT total energy	-3.82	eV per atom
magnetization	0.00	μB/cell
calculated density	7.294	g/cm³

Material: ScGa4Ni
Method: DFT, PBE
State: relaxed

a = 3.995 Å, b = 3.995 Å, c = 7.099 Å
α = 90.00°, β = 90.00°, γ = 90.00°
Sites, in units of the cell vectors:
Ni1 0.500 0.500 0.500
Ga1 0.000 0.500 0.701
Ga2 0.500 0.000 0.299
Ga3 0.500 0.000 0.701
Sc1 0.000 0.000 0.000
Ga4 0.000 0.500 0.299

DFT total energy	-4.27	eV per atom
magnetization	0.00	μB/cell
calculated density	5.608	g/cm³
formation energy	-0.231	eV/atom

Material: ZnInMo2
Method: DFT, PBE
State: relaxed

a = 5.203 Å, b = 5.203 Å, c = 5.203 Å
α = 136.09°, β = 136.09°, γ = 63.85°
Sites, in units of the cell vectors:
Mo1 0.000 0.000 0.000
In1 0.750 0.250 0.500
Mo2 0.500 0.500 0.000
Zn1 0.250 0.750 0.500

offset from the most stable computed form	0.66	eV/f.u.
DFT total energy	-6.10	eV per atom
magnetization	0.00	μB/cell
calculated density	9.242	g/cm³
formation energy	0.319	eV/atom

Material: EuPu2In
Method: DFT, PBE
State: relaxed

a = 5.164 Å, b = 4.637 Å, c = 4.637 Å
α = 90.00°, β = 90.00°, γ = 90.00°
Each line ends with the local moment (μB).
Sites, in units of the cell vectors:
Pu1 0.000 0.500 0.000  -5.60
Eu1 0.500 0.000 0.000  6.67
Pu2 0.000 0.000 0.500  -5.60
In1 0.500 0.500 0.500  0.07

DFT total energy	-10.39	eV per atom
magnetization	5.03	μB/cell
calculated density	11.285	g/cm³
formation energy	0.028	eV/atom

Material: Ca4CePb5
Method: DFT, PBE
State: relaxed

a = 3.608 Å, b = 3.608 Å, c = 23.108 Å
α = 90.00°, β = 90.00°, γ = 90.00°
Each line ends with the local moment (μB).
Sites, in units of the cell vectors:
Ce1 0.000 0.000 0.000  1.07
Ca1 0.000 0.000 0.201  0.00
Ca2 0.000 0.000 0.799  0.00
Pb1 0.500 0.500 0.500  0.00
Pb2 0.500 0.500 0.301  0.00
Pb3 0.500 0.500 0.899  0.00
Pb4 0.500 0.500 0.101  0.00
Ca3 0.000 0.000 0.400  0.00
Pb5 0.500 0.500 0.699  0.00
Ca4 0.000 0.000 0.600  0.00

DFT total energy	-3.74	eV per atom
magnetization	1.49	μB/cell
calculated density	7.379	g/cm³
formation energy	-0.491	eV/atom

Material: PmGeTe3
Method: DFT, PBE
State: relaxed

a = 5.060 Å, b = 7.818 Å, c = 9.131 Å
α = 90.00°, β = 106.09°, γ = 90.00°
Sites, in units of the cell vectors:
Te1 0.164 0.502 0.327
Pm1 0.691 0.250 0.383
Pm2 0.309 0.750 0.617
Te2 0.164 0.998 0.327
Te3 0.836 0.002 0.673
Ge1 0.055 0.750 0.109
Ge2 0.945 0.250 0.891
Te4 0.836 0.498 0.673
Te5 0.509 0.250 0.017
Te6 0.491 0.750 0.983

offset from the most stable computed form	0.24	eV/f.u.
DFT total energy	-4.41	eV per atom
magnetization	0.00	μB/cell
calculated density	5.746	g/cm³
formation energy (no corrections)	-0.66	eV per atom

Material: HoEr3Ir3
Method: DFT, PBE
State: relaxed

a = 5.876 Å, b = 5.863 Å, c = 5.876 Å
α = 109.43°, β = 109.51°, γ = 109.43°
Sites, in units of the cell vectors:
Er1 0.000 0.004 0.500
Ir1 0.500 0.504 0.000
Er2 0.500 0.004 0.000
Ir2 0.000 0.504 0.500
Ho1 0.000 0.503 0.000
Ir3 0.500 0.004 0.500
Er3 0.500 0.504 0.500

offset from the most stable computed form	0.00	eV/f.u.
DFT total energy	-7.19	eV per atom
magnetization	0.00	μB/cell
calculated density	13.244	g/cm³
formation energy	-0.778	eV/atom

Material: La3SiRh
Method: DFT, PBE
State: relaxed

a = 5.444 Å, b = 5.444 Å, c = 5.444 Å
α = 90.00°, β = 90.00°, γ = 90.00°
Sites, in units of the cell vectors:
Rh1 0.000 0.000 0.000
La1 0.000 0.500 0.000
La2 0.000 0.000 0.500
Si1 0.500 0.500 0.500
La3 0.500 0.000 0.000

offset from the most stable computed form	0.00	eV/f.u.
DFT total energy	-5.77	eV per atom
magnetization	0.00	μB/cell
calculated density	5.636	g/cm³
formation energy (no corrections)	-0.26	eV per atom

Question: Which of these has the highest DFT total energy?
Answer: Ca4CePb5

Question: Which of these has the highest magnetization?
Answer: EuPu2In

Question: What is the calculated density in the eighth record?
Answer: 11.285 g/cm³

Question: Which of these has the lowest DFT total energy?
Answer: EuPu2In